First-principles (PBE) data for Rb3Th3AuS8 after structural relaxation, as listed in Alexandria.

raw total energy: -168.459 eV/cell
total moment: 0.000 μB/cell
raw formation energy: -1.518 eV per atom

a = 13.888 Å, b = 8.822 Å, c = 8.846 Å
α = 90.00°, β = 119.94°, γ = 90.00°
Space group C2/m (No. 12)
Inequivalent atoms, fractional coordinates:
Rb 0.000 0.000 0.000
Rb 0.250 0.250 0.000
Th 0.000 0.500 0.500
Th 0.250 0.250 0.500
Au 0.000 0.000 0.500
S 0.030 0.295 0.290
S 0.200 0.000 0.660
S 0.235 0.500 0.700